Compound: IrRuBr2
Source: Alexandria
Functional: PBE
Structure: optimized geometry

a = 2.9853 Å, b = 3.4881 Å, c = 8.4637 Å
α = 90.00°, β = 90.25°, γ = 90.00°
Space group Pm (No. 6)
Asymmetric unit:
Ir 0.0000 0.0000 0.0000 [1 per cell]
Ru 0.4980 0.5000 0.8451 [1 per cell]
Br 0.0023 0.5000 0.2161 [1 per cell]
Br 0.4952 0.0000 0.6328 [1 per cell]

***

Compound: Ir2RuBr
Source: Alexandria
Functional: PBE
Structure: optimized geometry

a = 4.0339 Å, b = 4.0339 Å, c = 7.6708 Å
α = 90.00°, β = 90.00°, γ = 90.00°
Space group I4/mmm (No. 139)
Asymmetric unit:
Ir 0.0000 0.5000 0.2500 [4 per cell]
Ru 0.0000 0.0000 0.0000 [2 per cell]
Br 0.0000 0.0000 0.5000 [2 per cell]

***

Compound: Ir2RuBr
Source: Alexandria
Functional: PBE
Structure: optimized geometry

a = 2.7828 Å, b = 2.7828 Å, c = 30.9919 Å
α = 90.00°, β = 90.00°, γ = 120.00°
Space group R-3m (No. 166, hexagonal axes)
Asymmetric unit:
Ir 0.0000 0.0000 0.2344 [6 per cell]
Ru 0.0000 0.0000 0.5000 [3 per cell]
Br 0.0000 0.0000 0.0000 [3 per cell]

***

Compound: IrRu2Br
Source: Alexandria
Functional: PBE
Structure: optimized geometry

a = 2.8219 Å, b = 2.8219 Å, c = 8.1144 Å
α = 90.00°, β = 90.00°, γ = 90.00°
Space group P4mm (No. 99)
Asymmetric unit:
Ir 0.0000 0.0000 0.0000 [1 per cell]
Ru 0.0000 0.0000 0.4408 [1 per cell]
Ru 0.5000 0.5000 0.2237 [1 per cell]
Br 0.5000 0.5000 0.6766 [1 per cell]

***

Compound: IrRu2Br
Source: Alexandria
Functional: PBE
Structure: optimized geometry

a = 2.8724 Å, b = 2.8724 Å, c = 25.7815 Å
α = 90.00°, β = 90.00°, γ = 120.00°
Space group R-3m (No. 166, hexagonal axes)
Asymmetric unit:
Ir 0.0000 0.0000 0.0000 [3 per cell]
Ru 0.0000 0.0000 0.2508 [6 per cell]
Br 0.0000 0.0000 0.5000 [3 per cell]

***

Compound: Ir2RuBr
Source: Alexandria
Functional: PBE
Structure: optimized geometry

a = 2.7190 Å, b = 4.7401 Å, c = 11.6039 Å
α = 90.00°, β = 90.00°, γ = 90.00°
Space group Cmmm (No. 65)
Asymmetric unit:
Ir 0.0000 0.0000 0.1939 [4 per cell]
Ru 0.0000 0.5000 0.0000 [2 per cell]
Br 0.0000 0.5000 0.5000 [2 per cell]

***

Calculated values (meV per atom) of raw formation energy for the records, taken in order: 288; 1064; 631; 662; 620; 761.
Calculated values (meV per atom) of ΔE to the lowest computed polymorph for the records, taken in order: 29.6; 522.8; 90.1; 115.4; 72.7; 219.7.